1.
A relaxed BaBeB3 crystal. Source: Alexandria via LeMat-Bulk, functional PBE-GGA.

## Properties
Calculated formation energy in eV per formula unit: 16.462
ΔE to the lowest computed polymorph in meV/atom: 1927
Volume in A^3/atom: 24.13
Total moment in μB/atom: 0.000

a b c (Å): 4.941 4.941 4.941
angles (deg): 90.00 90.00 90.00
Sites, in units of the cell vectors:
Ba 0.000 0.000 0.000
B 0.500 0.000 0.000
B 0.000 0.500 0.000
B 0.000 0.000 0.500
Be 0.500 0.500 0.500

2.
A relaxed BaBeB2 crystal. Source: Alexandria via LeMat-Bulk, functional PBE-GGA.

## Properties
Calculated formation energy in eV per formula unit: 2.543
Volume in A^3/atom: 16.47
Total moment in μB/atom: 0.000

a b c (Å): 4.430 4.430 7.410
angles (deg): 72.61 72.61 90.00
Sites, in units of the cell vectors:
B 0.875 0.625 0.750
B 0.375 0.625 0.250
B 0.375 0.625 0.750
B 0.375 0.125 0.250
Ba 0.750 0.250 0.500
Ba 0.000 0.000 0.000
Be 0.250 0.750 0.500
Be 0.500 0.500 0.000

Q: Which value of total moment does entry 2 give?
A: 0.000 μB/atom

Q: Look up the calculated formation energy of the second one.
A: 2.543 eV per formula unit

Q: Which value of calculated formation energy does entry 2 give?
A: 2.543 eV per formula unit

Q: Which of these has the highest calculated formation energy?
A: BaBeB3